(1)
HgMoPb | GGA-PBE | relaxed

Unit cell a=10.388 b=3.368 c=8.917 alpha=90.00 beta=111.76 gamma=90.00
Space group C2 (No. 5)
Inequivalent atoms, fractional coordinates:
Hg1 0.000 0.000 0.000
Hg2 0.000 0.018 0.500
Mo1 0.189 0.518 0.401
Pb1 0.175 0.517 0.798

E_form = 0.438 eV/atom
total magnetic moment = 0.00 μB/f.u.
distance to the lowest polymorph of the same formula = 45.7 meV/atom


(2)
HgMoPb | GGA-PBE | relaxed

Unit cell a=3.217 b=4.890 c=18.306 alpha=90.00 beta=90.00 gamma=90.00
Space group Amm2 (No. 38)
Inequivalent atoms, fractional coordinates:
Hg1 0.000 0.000 0.000
Hg2 0.500 0.000 0.216
Mo1 0.000 0.000 0.738
Mo2 0.500 0.000 0.837
Pb1 0.000 0.000 0.381
Pb2 0.500 0.000 0.585

E_form = 0.410 eV/atom
total magnetic moment = 0.00 μB/f.u.
distance to the lowest polymorph of the same formula = 17.6 meV/atom


(3)
HgMoPb2 | GGA-PBE | relaxed

Unit cell a=3.528 b=3.528 c=7.769 alpha=90.00 beta=90.00 gamma=90.00
Space group P4mm (No. 99)
Inequivalent atoms, fractional coordinates:
Hg1 0.000 0.000 0.000
Mo1 0.500 0.500 0.211
Pb1 0.000 0.000 0.403
Pb2 0.500 0.500 0.730

E_form = 0.608 eV/atom
total magnetic moment = 0.00 μB/f.u.


(4)
HgMoPb2 | GGA-PBE | relaxed

Unit cell a=3.766 b=3.766 c=6.549 alpha=90.00 beta=90.00 gamma=90.00
Space group P4/mmm (No. 123)
Inequivalent atoms, fractional coordinates:
Hg1 0.000 0.000 0.000
Mo1 0.000 0.000 0.500
Pb1 0.500 0.500 0.269

E_form = 0.560 eV/atom
total magnetic moment = 0.00 μB/f.u.


(5)
HgMo4Pb | GGA-PBE | relaxed

Unit cell a=7.651 b=7.651 c=7.651 alpha=90.00 beta=90.00 gamma=90.00
Space group F-43m (No. 216)
Inequivalent atoms, fractional coordinates:
Hg1 0.000 0.000 0.000
Mo1 0.127 0.127 0.627
Pb1 0.250 0.250 0.250

E_form = 0.670 eV/atom
total magnetic moment = 0.00 μB/f.u.


(6)
HgMoPb2 | GGA-PBE | relaxed

Unit cell a=3.034 b=5.012 c=14.310 alpha=90.00 beta=90.00 gamma=90.00
Space group Immm (No. 71)
Inequivalent atoms, fractional coordinates:
Hg1 0.000 0.000 0.000
Mo1 0.000 0.000 0.500
Pb1 0.000 0.500 0.175

E_form = 0.470 eV/atom
total magnetic moment = 0.43 μB/f.u.